Record 1
Density functional theory data (PBE-GGA) for a relaxed RbTiBe2F crystal.

abc: 5.1529 4.0652 5.1529
angles: 90.00 90.00 90.00
Element x y z (fractional)
1 F 0.0000 0.5000 0.0000
2 Ti 0.0000 0.0000 0.0000
3 Rb 0.5000 0.5000 0.5000
4 Be 0.5000 0.0000 0.0000
5 Be 0.0000 0.0000 0.5000

Results
D(E_F), states/eV/atom: 1.13
Total DFT energy (no corrections), eV/atom: -3.48
Crystal system: tetragonal

---

Record 2
Density functional theory data (PBE-GGA) for a relaxed RbTiBe2F8 crystal.

abc: 4.9765 4.9765 8.6338
angles: 73.25 73.25 60.00
Each line ends with the local moment (μB).
Element x y z (fractional)
1 F 0.6029 0.2383 0.1449  0.00
2 F 0.3971 0.7617 0.8551  0.00
3 F 0.0140 0.6029 0.1449  0.00
4 F 0.2000 0.2000 0.4000  0.00
5 F 0.2383 0.0140 0.1449  0.00
6 F 0.8000 0.8000 0.6000  0.00
7 F 0.9860 0.3971 0.8551  0.00
8 F 0.7617 0.9860 0.8551  0.00
9 Ti 0.0000 0.0000 0.0000  0.92
10 Be 0.2610 0.2610 0.2169  0.00
11 Be 0.7390 0.7390 0.7831  0.00
12 Rb 0.5000 0.5000 0.5000  0.00

Results
D(E_F), states/eV/atom: 0.59
Total DFT energy (no corrections), eV/atom: -5.83
Crystal system: trigonal

---

Record 3
Density functional theory data (PBE-GGA) for a relaxed RbBeTlF6 crystal.

abc: 5.3985 5.3985 6.0338
angles: 90.00 90.00 60.00
Element x y z (fractional)
1 F 0.5937 0.3513 0.6751
2 F 0.0550 0.3513 0.3249
3 F 0.3513 0.5937 0.3249
4 F 0.3513 0.0550 0.6751
5 F 0.5937 0.0550 0.3249
6 F 0.0550 0.5937 0.6751
7 Be 0.3333 0.3333 0.5000
8 Tl 0.6666 0.6667 0.5000
9 Rb 0.0000 0.0000 0.0000

Results
D(E_F), states/eV/atom: 0.00
Total DFT energy (no corrections), eV/atom: -4.48
Crystal system: trigonal

---

Record 4
Density functional theory data (PBE-GGA) for a relaxed Rb2BeTlF6 crystal.

abc: 6.0052 6.0052 6.0077
angles: 60.01 60.01 90.00
Element x y z (fractional)
1 F 0.2859 0.7141 0.0000
2 F 0.2859 0.2859 0.0000
3 F 0.7141 0.7141 0.0000
4 F 0.2856 0.2856 0.4288
5 F 0.7141 0.2859 0.0000
6 F 0.7144 0.7144 0.5712
7 Tl 0.0000 0.0000 0.0000
8 Be 0.5000 0.5000 0.0000
9 Rb 0.7500 0.2500 0.5000
10 Rb 0.2500 0.7500 0.5000

Results
D(E_F), states/eV/atom: 0.39
Total DFT energy (no corrections), eV/atom: -4.40
Crystal system: cubic

---

Record 5
Density functional theory data (PBE-GGA) for a relaxed RbTmBe2F8 crystal.

abc: 5.1188 5.1188 8.3920
angles: 86.18 86.18 64.95
Each line ends with the local moment (μB).
Element x y z (fractional)
1 F 0.2398 0.7083 0.8153  0.00
2 F 0.6839 0.6839 0.3820  0.07
3 F 0.7083 0.2398 0.8153  0.00
4 F 0.7591 0.7591 0.0752  0.00
5 F 0.7602 0.2917 0.1847  0.00
6 F 0.2409 0.2409 0.9248  0.00
7 F 0.2917 0.7602 0.1847  0.00
8 F 0.3161 0.3161 0.6180  0.07
9 Be 0.3728 0.3728 0.7813  0.00
10 Be 0.6272 0.6272 0.2187  0.00
11 Rb 0.0000 0.0000 0.5000  0.00
12 Tm 0.0000 0.0000 0.0000  0.00

Results
D(E_F), states/eV/atom: 0.00
Total DFT energy (no corrections), eV/atom: -5.84
Crystal system: monoclinic

---

Record 6
Density functional theory data (PBE-GGA) for a relaxed RbUBe2F8 crystal.

abc: 5.2150 5.2150 8.8651
angles: 72.89 72.89 60.00
Each line ends with the local moment (μB).
Element x y z (fractional)
1 F 0.0634 0.7636 0.6718  0.00
2 F 0.7636 0.5012 0.6718  0.00
3 F 0.9366 0.4988 0.3282  0.00
4 F 0.5012 0.0634 0.6718  0.00
5 F 0.4988 0.2364 0.3282  0.00
6 F 0.3084 0.3084 0.0747  0.00
7 F 0.2364 0.9366 0.3282  0.00
8 F 0.6916 0.6916 0.9253  0.00
9 Rb 0.0000 0.0000 0.0000  0.00
10 Be 0.7510 0.7510 0.7471  0.00
11 Be 0.2490 0.2490 0.2529  0.00
12 U 0.5000 0.5000 0.5000  2.88

Results
D(E_F), states/eV/atom: 0.04
Total DFT energy (no corrections), eV/atom: -6.12
Crystal system: trigonal

---

Q: Among the records above, which one has the highest D(E_F)?
A: RbTiBe2F